A relaxed structure of Cr2CoBiO6. Source: Alexandria via LeMat-Bulk, functional GGA+U.

As for the space group: R3 (146). The value obtained for the final energy is -6.784 eV per atom.

Geometry as extended XYZ:
```
10
Lattice="2.6421 1.5254 4.6534 -2.6421 1.5254 4.6534 0.0000 -3.0508 4.6534" Properties=species:S:1:pos:R:3 pbc="T T T"
Cr 0.0000 0.0000 0.0000
Cr 0.0000 0.0000 6.7881
Co 0.0000 0.0000 9.5424
Bi 0.0000 0.0000 3.0055
O -0.7986 -1.5623 5.8176
O -1.4262 -0.2956 8.2931
O -0.9537 1.4728 5.8176
O 0.9691 -1.0873 8.2931
O 1.7524 0.0895 5.8176
O 0.4571 1.3829 8.2931
```